Entry 1:
Computed, not measured: crystalline BaCdPd4 at its relaxed geometry at the GGA-PBE level of DFT.

a b c (Å): 4.284 7.926 7.942
angles (deg): 90.00 90.00 90.00
Fractional positions:
Ba: 0.000 0.658 0.750
Ba: 0.000 0.342 0.250
Cd: 0.000 0.232 0.750
Cd: 0.000 0.768 0.250
Pd: 0.000 0.000 0.500
Pd: 0.000 0.000 0.000
Pd: 0.500 0.962 0.750
Pd: 0.500 0.038 0.250
Pd: 0.500 0.759 0.039
Pd: 0.500 0.241 0.961
Pd: 0.500 0.759 0.461
Pd: 0.500 0.241 0.539

Computed properties:
As for the formation energy: -0.259 eV/atom. The offset from the most stable computed form is 0.0880 eV per atom.



Entry 2:
Computed, not measured: crystalline RbCa2V at its relaxed geometry at the GGA-PBE level of DFT.

a b c (Å): 9.673 9.673 7.819
angles (deg): 51.79 51.79 90.00
Site moments in Bohr magnetons follow the coordinates.
Fractional positions:
Ca: 0.554 0.125 0.250  0.13
Ca: 0.196 0.625 0.250  0.13
Ca: 0.375 0.446 0.750  0.13
Ca: 0.875 0.804 0.750  0.13
Rb: 0.000 0.000 0.000  0.02
Rb: 0.750 0.250 0.500  0.02
V: 0.500 0.500 0.000  3.19
V: 0.250 0.750 0.500  3.19

Computed properties:
As for the formation energy: 0.868 eV/atom. The offset from the most stable computed form is 0.1028 eV per atom.



Entry 3:
Computed, not measured: crystalline CaNiN at its relaxed geometry at the GGA-PBE level of DFT.

a b c (Å): 5.214 3.398 10.090
angles (deg): 90.00 103.70 90.00
Fractional positions:
Ca: 0.773 0.000 0.768
Ca: 0.773 0.500 0.268
Ca: 0.375 0.000 0.437
Ca: 0.375 0.500 0.937
Ni: 0.985 0.000 0.044
Ni: 0.985 0.500 0.544
Ni: 0.237 0.000 0.689
Ni: 0.237 0.500 0.189
N: 0.331 0.000 0.174
N: 0.331 0.500 0.674
N: 0.856 0.000 0.444
N: 0.856 0.500 0.944

Computed properties:
The calculation puts the formation energy (no corrections) at -365 meV/atom. The offset from the most stable computed form is 0.3170 eV per atom.



Entry 4:
Computed, not measured: crystalline AcLa2Pb3 at its relaxed geometry at the GGA-PBE level of DFT.

a b c (Å): 6.835 6.712 9.607
angles (deg): 99.93 110.84 90.00
Fractional positions:
Ac: 0.872 0.750 0.000
Ac: 0.128 0.250 0.000
La: 0.548 0.604 0.336
La: 0.788 0.104 0.336
La: 0.212 0.896 0.664
La: 0.452 0.396 0.664
Pb: 0.623 0.250 0.000
Pb: 0.377 0.750 0.000
Pb: 0.280 0.073 0.337
Pb: 0.943 0.427 0.663
Pb: 0.057 0.573 0.337
Pb: 0.720 0.927 0.663

Computed properties:
As for the formation energy: -0.517 eV/atom. The offset from the most stable computed form is 0.0074 eV per atom.



Entry 5:
Computed, not measured: crystalline Ac2ErSn3 at its relaxed geometry at the GGA-PBE level of DFT.

a b c (Å): 6.679 6.545 9.586
angles (deg): 103.46 110.39 90.00
Fractional positions:
Ac: 0.535 0.612 0.339
Ac: 0.804 0.112 0.339
Ac: 0.196 0.888 0.661
Ac: 0.465 0.388 0.661
Er: 0.879 0.750 0.000
Er: 0.121 0.250 0.000
Sn: 0.627 0.250 0.000
Sn: 0.373 0.750 0.000
Sn: 0.274 0.072 0.293
Sn: 0.982 0.428 0.707
Sn: 0.018 0.572 0.293
Sn: 0.726 0.928 0.707

Computed properties:
As for the formation energy: -0.569 eV/atom.



Entry 6:
Computed, not measured: crystalline Mn3VAs at its relaxed geometry at the GGA-PBE level of DFT.

a b c (Å): 4.439 4.439 4.439
angles (deg): 90.00 90.00 90.00
Site moments in Bohr magnetons follow the coordinates.
Fractional positions:
As: 0.500 0.500 0.500  -0.10
Mn: 0.000 0.500 0.000  3.02
Mn: 0.000 0.000 0.500  3.02
Mn: 0.500 0.000 0.000  3.02
V: 0.000 0.000 0.000  -1.71

Computed properties:
As for the formation energy: 0.942 eV/atom.